1.
# Ce3Ga2Ru

A relaxed structure of Ce3Ga2Ru (GGA-PBE, the Alexandria database).

abc: 7.8781 8.3386 8.7270
angles: 90.00 106.32 90.00
With the nearest neighbours (Å) after each atom.
Space group C2/c (No. 15)
One atom of each set of equivalent atoms:
Ce (0.0000, 0.1836, 0.2500) (multiplicity 4)  1 Ru 2.88, 2 Ce 3.04, 2 Ga 3.19
Ce (0.2317, 0.4650, 0.0274) (multiplicity 8)  1 Ru 2.59
Ga (0.0957, 0.2073, 0.6352) (multiplicity 8)  1 Ru 2.62, 1 Ga 2.83
Ru (0.0000, 0.4714, 0.7500) (multiplicity 4)  3 Ce 2.59-2.88, 2 Ga 2.62

Results
DFT formation energy, eV/atom: -0.411
E, eV/atom: -5.933
Volume, Å³/atom: 22.925


2.
# BiBSe3

A relaxed structure of BiBSe3 (GGA-PBE, the Alexandria database).

abc: 5.5209 5.5209 5.5209
angles: 90.00 90.00 90.00
With the nearest neighbours (Å) after each atom.
Space group Pm-3m (No. 221)
One atom of each set of equivalent atoms:
Bi (0.0000, 0.0000, 0.0000) (multiplicity 1)  6 Se 2.76
B (0.5000, 0.5000, 0.5000) (multiplicity 1)  12 Se 3.90
Se (0.0000, 0.0000, 0.5000) (multiplicity 3)  2 Bi 2.76

Results
ΔE_f (raw), eV/atom: 1.386
E, eV/atom: -2.816
Volume, Å³/atom: 33.656